(1)
Entry from Alexandria via LeMat-Bulk: a relaxed ThNp2 crystal (PBE-GGA).

Values from the calculation:
The value obtained for the formation energy is 278 meV/atom. As for the calculated density: 17551 kg/m³. Its uncorrected energy is -10.82 eV/atom. The spin magnetization comes out at 1.46 μB/atom.

abc: 5.7382 5.7382 5.7382
angles: 60.00 60.00 60.00
Each line ends with the local moment (μB).
Fractional positions:
Np1 0.1250 0.6250 0.6250  2.19
Np2 0.6250 0.6250 0.6250  2.19
Np3 0.6250 0.6250 0.1250  2.19
Np4 0.6250 0.1250 0.6250  2.19
Th1 0.0000 0.0000 0.0000  -0.03
Th2 0.2500 0.2500 0.2500  -0.03

(2)
Entry from Alexandria via LeMat-Bulk: a relaxed Ba3Na4Pb4 crystal (PBE-GGA).

Values from the calculation:
The value obtained for the formation energy is -310 meV/atom. As for the calculated density: 5478 kg/m³. Its uncorrected energy is -2.66 eV/atom. The spin magnetization comes out at 0.00 μB/atom.

abc: 5.3639 8.3904 10.2643
angles: 114.12 105.15 90.00
Fractional positions:
Pb1 0.2101 0.7101 0.4202
Pb2 0.5000 0.8209 0.0000
Pb3 0.5000 0.1791 0.0000
Pb4 0.7899 0.2899 0.5798
Na1 0.3280 0.5252 0.6560
Na2 0.6720 0.8692 0.3440
Na3 0.6720 0.4748 0.3440
Na4 0.3280 0.1308 0.6560
Ba1 0.0000 0.5000 0.0000
Ba2 0.1281 0.1281 0.2561
Ba3 0.8719 0.8719 0.7439

(3)
Entry from Alexandria via LeMat-Bulk: a relaxed Ba2YRh crystal (PBE-GGA).

Values from the calculation:
The value obtained for the formation energy is -158 meV/atom. As for the calculated density: 5005 kg/m³. Its uncorrected energy is -4.57 eV/atom. The spin magnetization comes out at 0.00 μB/atom.

abc: 9.9097 9.9097 4.4292
angles: 77.10 77.10 21.43
Fractional positions:
Ba1 0.0971 0.0971 0.9030
Ba2 0.4029 0.4029 0.5970
Rh1 0.7500 0.7500 0.7500
Y1 0.2500 0.2500 0.2500

(4)
Entry from Alexandria via LeMat-Bulk: a relaxed Cu5Tc3 crystal (PBE-GGA).

Values from the calculation:
The value obtained for the formation energy is 466 meV/atom. As for the calculated density: 9266 kg/m³. Its uncorrected energy is -5.98 eV/atom. The spin magnetization comes out at 0.00 μB/atom.

abc: 7.4926 7.4925 4.5105
angles: 90.00 90.00 59.98
Fractional positions:
Cu1 0.0000 0.7996 0.2500
Cu2 0.2003 0.7997 0.7500
Cu3 0.0000 0.2004 0.7500
Cu4 0.6666 0.6666 0.5000
Cu5 0.3334 0.3334 0.5000
Cu6 0.3334 0.3334 0.0000
Cu7 0.7997 0.2003 0.2500
Cu8 0.6666 0.6666 0.0000
Cu9 0.7997 0.0000 0.7500
Cu10 0.2004 0.0000 0.2500
Tc1 0.5845 0.4155 0.7500
Tc2 0.4154 0.0001 0.7500
Tc3 0.4155 0.5845 0.2500
Tc4 0.9999 0.5846 0.7500
Tc5 0.0001 0.4154 0.2500
Tc6 0.5846 0.9999 0.2500

(5)
Entry from Alexandria via LeMat-Bulk: a relaxed Mg4CrRh5 crystal (PBE-GGA).

Values from the calculation:
The value obtained for the formation energy is -393 meV/atom. As for the calculated density: 7438 kg/m³. Its uncorrected energy is -5.67 eV/atom. The spin magnetization comes out at 0.21 μB/atom.

abc: 3.0847 3.0847 15.5732
angles: 90.00 90.00 90.00
Each line ends with the local moment (μB).
Fractional positions:
Rh1 0.5000 0.5000 0.0919  -0.01
Rh2 0.5000 0.5000 0.9081  -0.01
Rh3 0.5000 0.5000 0.5000  -0.03
Rh4 0.5000 0.5000 0.2973  -0.03
Rh5 0.5000 0.5000 0.7027  -0.03
Cr1 0.0000 0.0000 0.0000  2.16
Mg1 0.0000 0.0000 0.1997  0.00
Mg2 0.0000 0.0000 0.8003  0.00
Mg3 0.0000 0.0000 0.6013  0.00
Mg4 0.0000 0.0000 0.3987  0.00

(6)
Entry from Alexandria via LeMat-Bulk: a relaxed TaSiHg2 crystal (PBE-GGA).

Values from the calculation:
As for the calculated density: 12387 kg/m³. Its uncorrected energy is -4.13 eV/atom. The spin magnetization comes out at 0.00 μB/atom.

abc: 2.9372 2.9372 9.4814
angles: 90.00 90.00 90.00
Fractional positions:
Si1 0.0000 0.0000 0.5370
Ta1 0.5000 0.5000 0.7309
Hg1 0.5000 0.5000 0.2651
Hg2 0.0000 0.0000 0.9670

(7)
Entry from Alexandria via LeMat-Bulk: a relaxed Sr5U3As8 crystal (PBE-GGA).

Values from the calculation:
The value obtained for the formation energy is -992 meV/atom. As for the calculated density: 6349 kg/m³. Its uncorrected energy is -5.96 eV/atom. The spin magnetization comes out at 0.25 μB/atom.

abc: 8.6252 8.6252 8.6804
angles: 60.21 60.21 60.00
Each line ends with the local moment (μB).
Fractional positions:
As1 0.2172 0.7501 0.2826  -0.07
As2 0.7828 0.2499 0.7174  -0.07
As3 0.2381 0.2381 0.2857  -0.06
As4 0.7619 0.7619 0.7143  -0.06
As5 0.2499 0.7828 0.7174  -0.07
As6 0.7501 0.7501 0.2826  -0.07
As7 0.2499 0.2499 0.7174  -0.07
As8 0.7501 0.2172 0.2826  -0.07
Sr1 0.5000 0.5000 0.5000  -0.01
Sr2 0.0000 0.0000 0.0000  -0.01
Sr3 0.5000 0.5000 0.0000  -0.01
Sr4 0.5000 0.0000 0.0000  -0.01
Sr5 0.0000 0.5000 0.0000  -0.01
U1 0.0000 0.0000 0.5000  1.63
U2 0.5000 0.0000 0.5000  1.63
U3 0.0000 0.5000 0.5000  1.63

(8)
Entry from Alexandria via LeMat-Bulk: a relaxed HgTePd2 crystal (PBE-GGA).

Values from the calculation:
As for the calculated density: 10036 kg/m³. Its uncorrected energy is -3.49 eV/atom. The spin magnetization comes out at 0.00 μB/atom.

abc: 4.5062 4.5062 9.3752
angles: 76.09 76.09 90.00
Fractional positions:
Pd1 0.1694 0.6250 0.2500
Pd2 0.5806 0.1250 0.2500
Pd3 0.3750 0.4194 0.7500
Pd4 0.8750 0.8306 0.7500
Hg1 0.0000 0.0000 0.0000
Hg2 0.7500 0.2500 0.5000
Te1 0.5000 0.5000 0.0000
Te2 0.2500 0.7500 0.5000